[1]
First-principles (PBE) data for a relaxed structure of Rb3Y3MnSe8, as listed in the Alexandria database.

Properties
Energy relative to the elements, uncorrected, eV/f.u.: -21.40
Calculated total energy, eV/atom: -5.38
Crystal system: trigonal

Cell and atoms, written as CIF:
```
data_Rb3Y3MnSe8
_chemical_formula_sum 'Rb9 Y9 Mn3 Se24'
_space_group_name_H-M_alt 'R -3 m'
_space_group_IT_number 166
_space_group_name_Hall '-R 3 2"'
_cell_length_a 8.2129
_cell_length_b 8.2129
_cell_length_c 24.4911
_cell_angle_alpha 90.00
_cell_angle_beta 90.00
_cell_angle_gamma 120.00
loop_
_atom_site_label
_atom_site_type_symbol
_atom_site_fract_x
_atom_site_fract_y
_atom_site_fract_z
Rb1 Rb 0.0000 0.5000 0.0000
Y1 Y 0.0000 0.5000 0.5000
Mn1 Mn 0.0000 0.0000 0.5000
Se1 Se 0.0000 0.0000 0.2324
Se2 Se 0.0320 0.5160 0.2267
```

***

[2]
First-principles (PBE) data for a relaxed structure of TePb2Se, as listed in the Alexandria database.

Properties
Energy relative to the elements, uncorrected, eV/f.u.: -1.50
Calculated total energy, eV/atom: -3.89
Energy above the most stable polymorph in this dataset, meV per atom: 105
Crystal system: trigonal

Cell and atoms, written as CIF:
```
data_TePb2Se
_chemical_formula_sum 'Te1 Pb2 Se1'
_space_group_name_H-M_alt 'P 3 m 1'
_space_group_IT_number 156
_space_group_name_Hall 'P 3 -2"'
_cell_length_a 5.3718
_cell_length_b 5.3718
_cell_length_c 6.5285
_cell_angle_alpha 90.00
_cell_angle_beta 90.00
_cell_angle_gamma 120.00
loop_
_atom_site_label
_atom_site_type_symbol
_atom_site_fract_x
_atom_site_fract_y
_atom_site_fract_z
Te1 Te 0.0000 0.0000 0.0000
Pb1 Pb 0.0000 0.0000 0.4848
Pb2 Pb 0.3333 0.6667 0.9486
Se1 Se 0.3333 0.6667 0.4994
```

***

[3]
First-principles (PBE) data for a relaxed structure of SmY2Er4Sc, as listed in the Alexandria database.

Properties
Calculated total energy, eV/atom: -5.24
Crystal system: tetragonal
Formation energy from the elements, eV per formula unit: 0.30

Cell and atoms, written as CIF:
```
data_SmY2Er4Sc
_chemical_formula_sum 'Sm1 Y2 Er4 Sc1'
_space_group_name_H-M_alt 'P 4/m m m'
_space_group_IT_number 123
_space_group_name_Hall '-P 4 2'
_cell_length_a 4.958
_cell_length_b 4.958
_cell_length_c 9.937
_cell_angle_alpha 90.00
_cell_angle_beta 90.00
_cell_angle_gamma 90.00
loop_
_atom_site_label
_atom_site_type_symbol
_atom_site_fract_x
_atom_site_fract_y
_atom_site_fract_z
Sm1 Sm 0.000 0.000 0.000
Y1 Y 0.000 0.000 0.500
Y2 Y 0.500 0.500 0.000
Er1 Er 0.000 0.500 0.256
Sc1 Sc 0.500 0.500 0.500
```

***

[4]
First-principles (PBE) data for a relaxed structure of SrCu4Ir3O12, as listed in the Alexandria database.

Properties
Energy relative to the elements, uncorrected, eV/f.u.: -14.64
Calculated total energy, eV/atom: -5.94
Crystal system: cubic

Cell and atoms, written as CIF:
```
data_SrCu4Ir3O12
_chemical_formula_sum 'Sr2 Cu8 Ir6 O24'
_space_group_name_H-M_alt 'I m -3'
_space_group_IT_number 204
_space_group_name_Hall '-I 2 2 3'
_cell_length_a 7.621
_cell_length_b 7.621
_cell_length_c 7.621
_cell_angle_alpha 90.00
_cell_angle_beta 90.00
_cell_angle_gamma 90.00
loop_
_atom_site_label
_atom_site_type_symbol
_atom_site_fract_x
_atom_site_fract_y
_atom_site_fract_z
Sr1 Sr 0.000 0.000 0.000
Cu1 Cu 0.250 0.250 0.250
Ir1 Ir 0.000 0.000 0.500
O1 O 0.000 0.319 0.174
```

***

[5]
First-principles (PBE) data for a relaxed structure of PmPrNO, as listed in the Alexandria database.

Properties
Energy relative to the elements, uncorrected, eV/f.u.: -8.51
Calculated total energy, eV/atom: -7.83
Crystal system: tetragonal

Cell and atoms, written as CIF:
```
data_PmPrNO
_chemical_formula_sum 'Pm1 Pr1 N1 O1'
_space_group_name_H-M_alt 'P 4/m m m'
_space_group_IT_number 123
_space_group_name_Hall '-P 4 2'
_cell_length_a 3.605
_cell_length_b 3.605
_cell_length_c 5.109
_cell_angle_alpha 90.00
_cell_angle_beta 90.00
_cell_angle_gamma 90.00
loop_
_atom_site_label
_atom_site_type_symbol
_atom_site_fract_x
_atom_site_fract_y
_atom_site_fract_z
Pm1 Pm 0.000 0.000 0.000
Pr1 Pr 0.500 0.500 0.500
N1 N 0.500 0.500 0.000
O1 O 0.000 0.000 0.500
```

***

[6]
First-principles (PBE) data for a relaxed structure of PrNd2Sm2Tm, as listed in the Alexandria database.

Properties
Calculated total energy, eV/atom: -4.65
Crystal system: orthorhombic
Formation energy from the elements, eV per formula unit: 0.35

Cell and atoms, written as CIF:
```
data_PrNd2Sm2Tm
_chemical_formula_sum 'Pr2 Nd4 Sm4 Tm2'
_space_group_name_H-M_alt 'P m m a'
_space_group_IT_number 51
_space_group_name_Hall '-P 2a 2a'
_cell_length_a 7.103
_cell_length_b 5.741
_cell_length_c 9.949
_cell_angle_alpha 90.00
_cell_angle_beta 90.00
_cell_angle_gamma 90.00
loop_
_atom_site_label
_atom_site_type_symbol
_atom_site_fract_x
_atom_site_fract_y
_atom_site_fract_z
Pr1 Pr 0.250 0.000 0.156
Nd1 Nd 0.000 0.000 0.500
Nd2 Nd 0.250 0.500 0.677
Sm1 Sm 0.250 0.000 0.829
Sm2 Sm 0.250 0.500 0.337
Tm1 Tm 0.000 0.500 0.000
```

***

[7]
First-principles (PBE) data for a relaxed structure of K2TlMo, as listed in the Alexandria database.

Properties
Calculated total energy, eV/atom: -2.87
Energy above the most stable polymorph in this dataset, meV per atom: 222
Crystal system: trigonal
Formation energy from the elements, eV per formula unit: 3.93

Cell and atoms, written as CIF:
```
data_K2TlMo
_chemical_formula_sum 'K6 Tl3 Mo3'
_space_group_name_H-M_alt 'R 3 m'
_space_group_IT_number 160
_space_group_name_Hall 'R 3 -2"'
_cell_length_a 3.3049
_cell_length_b 3.3049
_cell_length_c 37.4262
_cell_angle_alpha 90.00
_cell_angle_beta 90.00
_cell_angle_gamma 120.00
loop_
_atom_site_label
_atom_site_type_symbol
_atom_site_fract_x
_atom_site_fract_y
_atom_site_fract_z
K1 K 0.0000 0.0000 0.0000
K2 K 0.0000 0.0000 0.2218
Tl1 Tl 0.0000 0.0000 0.7467
Mo1 Mo 0.0000 0.0000 0.4761
```

***

[8]
First-principles (PBE) data for a relaxed structure of TbDy3Ir, as listed in the Alexandria database.

Properties
Calculated total energy, eV/atom: -5.71
Energy above the most stable polymorph in this dataset, meV per atom: 83
Crystal system: cubic
Formation energy from the elements, eV per formula unit: -1.26

Cell and atoms, written as CIF:
```
data_TbDy3Ir
_chemical_formula_sum 'Tb1 Dy3 Ir1'
_space_group_name_H-M_alt 'P m -3 m'
_space_group_IT_number 221
_space_group_name_Hall '-P 4 2 3'
_cell_length_a 5.430
_cell_length_b 5.430
_cell_length_c 5.430
_cell_angle_alpha 90.00
_cell_angle_beta 90.00
_cell_angle_gamma 90.00
loop_
_atom_site_label
_atom_site_type_symbol
_atom_site_fract_x
_atom_site_fract_y
_atom_site_fract_z
Tb1 Tb 0.000 0.000 0.000
Dy1 Dy 0.000 0.500 0.500
Ir1 Ir 0.500 0.500 0.500
```

***

[9]
First-principles (PBE) data for a relaxed structure of Sm5Se9, as listed in the Alexandria database.

Properties
Energy relative to the elements, uncorrected, eV/f.u.: -23.61
Calculated total energy, eV/atom: -5.61
Crystal system: triclinic

Cell and atoms, written as CIF:
```
data_Sm5Se9
_chemical_formula_sum 'Sm10 Se18'
_space_group_name_H-M_alt 'P -1'
_space_group_IT_number 2
_space_group_name_Hall '-P 1'
_cell_length_a 9.098
_cell_length_b 9.304
_cell_length_c 9.337
_cell_angle_alpha 112.74
_cell_angle_beta 101.03
_cell_angle_gamma 90.34
loop_
_atom_site_label
_atom_site_type_symbol
_atom_site_fract_x
_atom_site_fract_y
_atom_site_fract_z
Sm1 Sm 0.016 0.265 0.281
Sm2 Sm 0.192 0.649 0.258
Sm3 Sm 0.195 0.135 0.743
Sm4 Sm 0.396 0.539 0.725
Sm5 Sm 0.407 0.067 0.287
Se1 Se 0.050 0.338 0.003
Se2 Se 0.083 0.408 0.641
Se3 Se 0.128 0.998 0.375
Se4 Se 0.135 0.001 0.993
Se5 Se 0.271 0.794 0.629
Se6 Se 0.328 0.396 0.369
Se7 Se 0.360 0.454 0.000
Se8 Se 0.466 0.131 0.999
Se9 Se 0.485 0.204 0.642
```

***

[10]
First-principles (PBE) data for a relaxed structure of Ti7Ga4W, as listed in the Alexandria database.

Properties
Calculated total energy, eV/atom: -6.61
Crystal system: monoclinic
Formation energy from the elements, eV per formula unit: 1.00

Cell and atoms, written as CIF:
```
data_Ti7Ga4W
_chemical_formula_sum 'Ti14 Ga8 W2'
_space_group_name_H-M_alt 'C 1 2/m 1'
_space_group_IT_number 12
_space_group_name_Hall '-C 2y'
_cell_length_a 11.200
_cell_length_b 4.832
_cell_length_c 9.205
_cell_angle_alpha 90.00
_cell_angle_beta 122.58
_cell_angle_gamma 90.00
loop_
_atom_site_label
_atom_site_type_symbol
_atom_site_fract_x
_atom_site_fract_y
_atom_site_fract_z
Ti1 Ti 0.000 0.000 0.000
Ti2 Ti 0.066 0.500 0.330
Ti3 Ti 0.159 0.000 0.575
Ti4 Ti 0.207 0.500 0.899
Ga1 Ga 0.063 0.000 0.766
Ga2 Ga 0.214 0.000 0.328
W1 W 0.000 0.500 0.000
```

***

[11]
First-principles (PBE) data for a relaxed structure of Ba3Zn2Cd7, as listed in the Alexandria database.

Properties
Calculated total energy, eV/atom: -1.47
Crystal system: trigonal
Formation energy from the elements, eV per formula unit: -2.86

Cell and atoms, written as CIF:
```
data_Ba3Zn2Cd7
_chemical_formula_sum 'Ba9 Zn6 Cd21'
_space_group_name_H-M_alt 'R -3 m'
_space_group_IT_number 166
_space_group_name_Hall '-R 3 2"'
_cell_length_a 6.3685
_cell_length_b 6.3685
_cell_length_c 28.7520
_cell_angle_alpha 90.00
_cell_angle_beta 90.00
_cell_angle_gamma 120.00
loop_
_atom_site_label
_atom_site_type_symbol
_atom_site_fract_x
_atom_site_fract_y
_atom_site_fract_z
Ba1 Ba 0.0000 0.0000 0.0000
Ba2 Ba 0.0000 0.0000 0.1436
Zn1 Zn 0.0000 0.0000 0.3350
Cd1 Cd 0.0000 0.0000 0.5000
Cd2 Cd 0.0041 0.5020 0.9229
```

***

[12]
First-principles (PBE) data for a relaxed structure of Tb4Pr3Er4, as listed in the Alexandria database.

Properties
Calculated total energy, eV/atom: -4.63
Energy above the most stable polymorph in this dataset, meV per atom: 0
Crystal system: triclinic
Formation energy from the elements, eV per formula unit: 0.21

Cell and atoms, written as CIF:
```
data_Tb4Pr3Er4
_chemical_formula_sum 'Tb4 Pr3 Er4'
_space_group_name_H-M_alt 'P -1'
_space_group_IT_number 2
_space_group_name_Hall '-P 1'
_cell_length_a 3.588
_cell_length_b 5.050
_cell_length_c 19.961
_cell_angle_alpha 82.74
_cell_angle_beta 84.91
_cell_angle_gamma 89.99
loop_
_atom_site_label
_atom_site_type_symbol
_atom_site_fract_x
_atom_site_fract_y
_atom_site_fract_z
Tb1 Tb 0.046 0.047 0.407
Tb2 Tb 0.315 0.317 0.867
Pr1 Pr 0.138 0.138 0.226
Pr2 Pr 0.500 0.500 0.500
Er1 Er 0.227 0.228 0.044
Er2 Er 0.410 0.408 0.682
```